1.
This record from the Alexandria database describes a PBEsol-optimized structure of TcMoOF2. The functional is SCAN.

Space-group type: P4/mmm (123)
Energy relative to the elements, uncorrected, meV/atom: -41.9

Cell: 4.3734 4.3734 3.5483 Å, 90.00 90.00 90.00°
Positions (direct):
Tc (0.0000, 0.0000, 0.0000)
Mo (0.5000, 0.5000, 0.0000)
O (0.0000, 0.0000, 0.5000)
F (0.0000, 0.5000, 0.5000)
F (0.5000, 0.0000, 0.5000)

=====

2.
This record from the Alexandria database describes a PBEsol-optimized structure of Te4MoO5F20. The functional is SCAN.

Space-group type: P-1 (2)
Energy relative to the elements, uncorrected, meV/atom: -1984.2

Cell: 9.3791 10.1000 10.4401 Å, 71.40 87.57 81.18°
Positions (direct):
Te (0.1641, 0.0328, 0.1887)
Te (0.1783, 0.5427, 0.1970)
Te (0.3001, 0.1833, 0.6819)
Te (0.3006, 0.6968, 0.6780)
Te (0.6994, 0.3032, 0.3220)
Te (0.6999, 0.8167, 0.3181)
Te (0.8217, 0.4573, 0.8030)
Te (0.8359, 0.9672, 0.8113)
Mo (0.2745, 0.8427, 0.9461)
Mo (0.7255, 0.1573, 0.0539)
O (0.1581, 0.7332, 0.0802)
O (0.2177, 0.7535, 0.8250)
O (0.2496, 0.9776, 0.0454)
O (0.3216, 0.9942, 0.7974)
O (0.4375, 0.7562, 0.9924)
O (0.5625, 0.2438, 0.0076)
O (0.6784, 0.0058, 0.2026)
O (0.7504, 0.0224, 0.9546)
O (0.7823, 0.2465, 0.1750)
O (0.8419, 0.2668, 0.9198)
F (0.0102, 0.5193, 0.1249)
F (0.0223, 0.9821, 0.8671)
F (0.0719, 0.5965, 0.3305)
F (0.0728, 0.0867, 0.3289)
F (0.1217, 0.6688, 0.6315)
F (0.1354, 0.1612, 0.6030)
F (0.1358, 0.2211, 0.0829)
F (0.1800, 0.8473, 0.3021)
F (0.1879, 0.2424, 0.8101)
F (0.1962, 0.3563, 0.3075)
F (0.2672, 0.8829, 0.5648)
F (0.2820, 0.3693, 0.5707)
F (0.2874, 0.4814, 0.0679)
F (0.3357, 0.5099, 0.7875)
F (0.3403, 0.0541, 0.2477)
F (0.3465, 0.5636, 0.2719)
F (0.3812, 0.6433, 0.5336)
F (0.4130, 0.1277, 0.5527)
F (0.4644, 0.2101, 0.7582)
F (0.4829, 0.7237, 0.7202)
F (0.5171, 0.2763, 0.2798)
F (0.5356, 0.7899, 0.2418)
F (0.5870, 0.8723, 0.4473)
F (0.6188, 0.3567, 0.4664)
F (0.6535, 0.4364, 0.7281)
F (0.6597, 0.9459, 0.7523)
F (0.6643, 0.4901, 0.2125)
F (0.7126, 0.5186, 0.9321)
F (0.7180, 0.6307, 0.4293)
F (0.7328, 0.1171, 0.4352)
F (0.8038, 0.6437, 0.6925)
F (0.8121, 0.7576, 0.1899)
F (0.8200, 0.1527, 0.6979)
F (0.8642, 0.7789, 0.9171)
F (0.8646, 0.8388, 0.3970)
F (0.8783, 0.3312, 0.3685)
F (0.9272, 0.9133, 0.6711)
F (0.9281, 0.4035, 0.6695)
F (0.9777, 0.0179, 0.1329)
F (0.9898, 0.4807, 0.8751)

=====

3.
This record from the Alexandria database describes a PBEsol-optimized structure of Te6MoO6F30. The functional is SCAN.

Space-group type: P-1 (2)
Energy relative to the elements, uncorrected, meV/atom: -1971.1

Cell: 9.1523 9.1622 9.3014 Å, 67.96 63.95 82.84°
Positions (direct):
Te (0.0001, 0.2309, 0.2435)
Te (0.9999, 0.7691, 0.7565)
Te (0.3171, 0.7490, 0.0796)
Te (0.3260, 0.2420, 0.6056)
Te (0.6740, 0.7580, 0.3944)
Te (0.6829, 0.2510, 0.9204)
Mo (0.0000, 0.0000, 0.0000)
O (0.0065, 0.1696, 0.0668)
O (0.1249, 0.1276, 0.7687)
O (0.1923, 0.9268, 0.0275)
O (0.8077, 0.0732, 0.9725)
O (0.8751, 0.8724, 0.2313)
O (0.9935, 0.8304, 0.9332)
F (0.0057, 0.7111, 0.5836)
F (0.1040, 0.5877, 0.8264)
F (0.1051, 0.0503, 0.3166)
F (0.1274, 0.6212, 0.2200)
F (0.2001, 0.3391, 0.0979)
F (0.2010, 0.8758, 0.6082)
F (0.2171, 0.4260, 0.5587)
F (0.3047, 0.7908, 0.2646)
F (0.3099, 0.2020, 0.4319)
F (0.3332, 0.7055, 0.8936)
F (0.3465, 0.2852, 0.7760)
F (0.4357, 0.5745, 0.1332)
F (0.4384, 0.0593, 0.6490)
F (0.4779, 0.6466, 0.5518)
F (0.4914, 0.1274, 0.0598)
F (0.5086, 0.8726, 0.9402)
F (0.5221, 0.3534, 0.4482)
F (0.5616, 0.9407, 0.3510)
F (0.5643, 0.4255, 0.8668)
F (0.6535, 0.7148, 0.2240)
F (0.6668, 0.2945, 0.1064)
F (0.6901, 0.7980, 0.5681)
F (0.6953, 0.2092, 0.7354)
F (0.7829, 0.5740, 0.4413)
F (0.7990, 0.1242, 0.3918)
F (0.7999, 0.6609, 0.9021)
F (0.8726, 0.3788, 0.7800)
F (0.8949, 0.9497, 0.6834)
F (0.8960, 0.4123, 0.1736)
F (0.9943, 0.2889, 0.4164)

=====

4.
This record from the Alexandria database describes a PBEsol-optimized structure of TlMoO2F. The functional is SCAN.

Space-group type: P4/mmm (123)
Energy relative to the elements, uncorrected, meV/atom: -60.8

Cell: 4.2507 4.2507 4.2822 Å, 90.00 90.00 90.00°
Positions (direct):
Tl (0.0000, 0.0000, 0.0000)
Mo (0.5000, 0.5000, 0.5000)
O (0.0000, 0.5000, 0.0000)
O (0.5000, 0.0000, 0.0000)
F (0.0000, 0.0000, 0.5000)

=====

5.
This record from the Alexandria database describes a PBEsol-optimized structure of TlMoOF2. The functional is SCAN.

Space-group type: P4/mmm (123)
Energy relative to the elements, uncorrected, meV/atom: -1706.1

Cell: 4.2982 4.2982 3.8346 Å, 90.00 90.00 90.00°
Positions (direct):
Tl (0.0000, 0.0000, 0.0000)
Mo (0.5000, 0.5000, 0.5000)
O (0.5000, 0.5000, 0.0000)
F (0.0000, 0.5000, 0.5000)
F (0.5000, 0.0000, 0.5000)

=====

6.
This record from the Alexandria database describes a PBEsol-optimized structure of MoWOF2. The functional is SCAN.

Space-group type: P4/mmm (123)
Energy relative to the elements, uncorrected, meV/atom: -516.9

Cell: 4.2326 4.2326 3.8648 Å, 90.00 90.00 90.00°
Positions (direct):
Mo (0.0000, 0.0000, 0.0000)
W (0.5000, 0.5000, 0.5000)
O (0.5000, 0.5000, 0.0000)
F (0.0000, 0.5000, 0.5000)
F (0.5000, 0.0000, 0.5000)

=====

7.
This record from the Alexandria database describes a PBEsol-optimized structure of Mo3PbF. The functional is SCAN.

Space-group type: Pm-3m (221)
Energy relative to the elements, uncorrected, meV/atom: 2163.7

Cell: 5.3765 5.3765 5.3765 Å, 90.00 90.00 90.00°
Positions (direct):
Mo (0.0000, 0.0000, 0.5000)
Mo (0.0000, 0.5000, 0.0000)
Mo (0.5000, 0.0000, 0.0000)
Pb (0.0000, 0.0000, 0.0000)
F (0.5000, 0.5000, 0.5000)

=====

8.
This record from the Alexandria database describes a PBEsol-optimized structure of MoPbF2. The functional is SCAN.

Space-group type: Fm-3m (225)
Energy relative to the elements, uncorrected, meV/atom: -365.6

Cell: 4.3496 4.3496 4.3496 Å, 60.00 60.00 60.00°
Positions (direct):
Mo (0.0000, 0.0000, 0.0000)
Pb (0.5000, 0.5000, 0.5000)
F (0.2500, 0.2500, 0.2500)
F (0.7500, 0.7500, 0.7500)

=====

9.
This record from the Alexandria database describes a PBEsol-optimized structure of TlMo2PtF. The functional is SCAN.

Space-group type: P4/mmm (123)
Energy relative to the elements, uncorrected, meV/atom: 1583.8

Cell: 5.1638 5.1638 4.2421 Å, 90.00 90.00 90.00°
Positions (direct):
Tl (0.0000, 0.0000, 0.0000)
Mo (0.0000, 0.5000, 0.0000)
Mo (0.5000, 0.0000, 0.0000)
Pt (0.5000, 0.5000, 0.5000)
F (0.0000, 0.0000, 0.5000)

=====

10.
This record from the Alexandria database describes a PBEsol-optimized structure of RbMo2F. The functional is SCAN.

Space-group type: Fm-3m (225)
Energy relative to the elements, uncorrected, meV/atom: 2297.8

Cell: 4.4885 4.4885 4.4885 Å, 60.00 60.00 60.00°
Positions (direct):
Rb (0.0000, 0.0000, 0.0000)
Mo (0.2500, 0.2500, 0.2500)
Mo (0.7500, 0.7500, 0.7500)
F (0.5000, 0.5000, 0.5000)

=====

11.
This record from the Alexandria database describes a PBEsol-optimized structure of Rb2MoF2. The functional is SCAN.

Space-group type: I4/mmm (139)
Energy relative to the elements, uncorrected, meV/atom: -1020.4

Cell: 6.8469 6.8469 6.8469 Å, 136.99 136.99 62.45°
Positions (direct):
Rb (0.1745, 0.1745, 0.0000)
Rb (0.8255, 0.8255, 0.0000)
Mo (0.5000, 0.5000, 0.0000)
F (0.2500, 0.7500, 0.5000)
F (0.7500, 0.2500, 0.5000)

=====

12.
This record from the Alexandria database describes a PBEsol-optimized structure of MoS2F. The functional is SCAN.

Space-group type: R-3m (166)
Energy relative to the elements, uncorrected, meV/atom: 518.1

Cell: 8.8981 8.8981 8.8981 Å, 17.37 17.37 17.37°
Positions (direct):
Mo (0.0000, 0.0000, 0.0000)
S (0.0924, 0.0924, 0.0924)
S (0.9076, 0.9076, 0.9076)
F (0.5000, 0.5000, 0.5000)

=====

13.
This record from the Alexandria database describes a PBEsol-optimized structure of MoSeF3. The functional is SCAN.

Space-group type: Pm-3m (221)
Energy relative to the elements, uncorrected, meV/atom: -1357.9

Cell: 4.1735 4.1735 4.1735 Å, 90.00 90.00 90.00°
Positions (direct):
Mo (0.0000, 0.0000, 0.0000)
Se (0.5000, 0.5000, 0.5000)
F (0.0000, 0.0000, 0.5000)
F (0.0000, 0.5000, 0.0000)
F (0.5000, 0.0000, 0.0000)

=====

14.
This record from the Alexandria database describes a PBEsol-optimized structure of TeMoSe2F. The functional is SCAN.

Space-group type: P4/mmm (123)
Energy relative to the elements, uncorrected, meV/atom: 849.5

Cell: 5.2227 5.2227 5.3090 Å, 90.00 90.00 90.00°
Positions (direct):
Te (0.0000, 0.0000, 0.0000)
Mo (0.0000, 0.0000, 0.5000)
Se (0.0000, 0.5000, 0.0000)
Se (0.5000, 0.0000, 0.0000)
F (0.5000, 0.5000, 0.5000)

=====

15.
This record from the Alexandria database describes a PBEsol-optimized structure of ZrSi2MoF. The functional is SCAN.

Space-group type: P4/mmm (123)
Energy relative to the elements, uncorrected, meV/atom: 150.5

Cell: 5.0179 5.0179 3.9285 Å, 90.00 90.00 90.00°
Positions (direct):
Zr (0.0000, 0.0000, 0.0000)
Si (0.0000, 0.5000, 0.0000)
Si (0.5000, 0.0000, 0.0000)
Mo (0.5000, 0.5000, 0.5000)
F (0.0000, 0.0000, 0.5000)

=====

16.
This record from the Alexandria database describes a PBEsol-optimized structure of SrMo2F. The functional is SCAN.

Space-group type: Fm-3m (225)
Energy relative to the elements, uncorrected, meV/atom: 1760.8

Cell: 4.5584 4.5584 4.5584 Å, 60.00 60.00 60.00°
Positions (direct):
Sr (0.0000, 0.0000, 0.0000)
Mo (0.2500, 0.2500, 0.2500)
Mo (0.7500, 0.7500, 0.7500)
F (0.5000, 0.5000, 0.5000)

=====

17.
This record from the Alexandria database describes a PBEsol-optimized structure of TaTeMoF2. The functional is SCAN.

Space-group type: P4/mmm (123)
Energy relative to the elements, uncorrected, meV/atom: -766.3

Cell: 3.9788 3.9788 5.3336 Å, 90.00 90.00 90.00°
Positions (direct):
Ta (0.0000, 0.0000, 0.0000)
Te (0.5000, 0.5000, 0.0000)
Mo (0.0000, 0.0000, 0.5000)
F (0.0000, 0.5000, 0.5000)
F (0.5000, 0.0000, 0.5000)

=====

18.
This record from the Alexandria database describes a PBEsol-optimized structure of TeMo2F. The functional is SCAN.

Space-group type: Fm-3m (225)
Energy relative to the elements, uncorrected, meV/atom: 171.6

Cell: 4.4266 4.4266 4.4266 Å, 60.00 60.00 60.00°
Positions (direct):
Te (0.0000, 0.0000, 0.0000)
Mo (0.2500, 0.2500, 0.2500)
Mo (0.7500, 0.7500, 0.7500)
F (0.5000, 0.5000, 0.5000)

=====

19.
This record from the Alexandria database describes a PBEsol-optimized structure of TiMoF3. The functional is SCAN.

Space-group type: Pm-3m (221)
Energy relative to the elements, uncorrected, meV/atom: -1649.4

Cell: 4.1317 4.1317 4.1317 Å, 90.00 90.00 90.00°
Positions (direct):
Ti (0.0000, 0.0000, 0.0000)
Mo (0.5000, 0.5000, 0.5000)
F (0.0000, 0.0000, 0.5000)
F (0.0000, 0.5000, 0.0000)
F (0.5000, 0.0000, 0.0000)

=====

20.
This record from the Alexandria database describes a PBEsol-optimized structure of Y2TlMoF. The functional is SCAN.

Space-group type: P4/mmm (123)
Energy relative to the elements, uncorrected, meV/atom: -239.1

Cell: 5.4460 5.4460 4.0111 Å, 90.00 90.00 90.00°
Positions (direct):
Y (0.0000, 0.5000, 0.0000)
Y (0.5000, 0.0000, 0.0000)
Tl (0.0000, 0.0000, 0.5000)
Mo (0.5000, 0.5000, 0.0000)
F (0.5000, 0.5000, 0.5000)